Record 1
Here is a geometry-optimized Zn2HgPb structure from Alexandria via LeMat-Bulk. Energies are from GGA-PBE.

POSCAR file:
```
Zn2HgPb
1.0
4.550 0.000 0.000
0.000 4.550 0.000
2.275 2.275 9.370
Pb Zn Hg
2 4 2
Direct
0.000 0.000 0.000
0.750 0.250 0.500
0.375 0.439 0.750
0.875 0.811 0.750
0.189 0.625 0.250
0.561 0.125 0.250
0.500 0.500 0.000
0.250 0.750 0.500
```

Values from the calculation:
Offset from the most stable computed form   0.0757 eV per atom
DOS(E_F)   3.1 states/eV per cell
Energy of formation   4.2 kcal/mol of atoms
Spin magnetization   0.000 μB/cell

=====

Record 2
Here is a geometry-optimized In2H2F3 structure from Alexandria via LeMat-Bulk. Energies are from GGA-PBE.

POSCAR file:
```
In2H2F3
1.0
3.886 1.576 1.421
2.267 8.796 1.389
2.685 1.332 5.006
F In H
3 2 2
Direct
0.104 0.621 0.999
0.896 0.379 0.001
0.000 0.000 0.000
0.518 0.292 0.001
0.482 0.708 0.999
0.993 0.290 0.501
0.007 0.710 0.499
```

Values from the calculation:
DOS(E_F)   1.0 states/eV per cell
Spin magnetization   0.000 μB/cell
Electronic total energy   -3.863 eV per atom

=====

Record 3
Here is a geometry-optimized Li2Ca4Zn structure from Alexandria via LeMat-Bulk. Energies are from GGA-PBE.

POSCAR file:
```
Li2Ca4Zn
1.0
5.172 0.000 1.616
2.334 4.616 1.616
-0.059 -0.036 9.272
Li Ca Zn
2 4 1
Direct
0.745 0.745 0.765
0.255 0.255 0.235
0.375 0.375 0.876
0.876 0.876 0.372
0.625 0.625 0.124
0.124 0.124 0.628
0.000 0.000 0.000
```

Values from the calculation:
DOS(E_F)   8.2 states/eV per cell
Energy of formation   0.7 kcal/mol of atoms
Spin magnetization   0.000 μB/cell

=====

Record 4
Here is a geometry-optimized Sc3CoTc structure from Alexandria via LeMat-Bulk. Energies are from GGA-PBE.

POSCAR file:
```
Sc3CoTc
1.0
4.910 0.000 0.000
0.000 4.910 0.000
0.000 0.000 4.910
Sc Co Tc
3 1 1
Direct
0.000 0.000 0.500
0.000 0.500 0.000
0.500 0.000 0.000
0.500 0.500 0.500
0.000 0.000 0.000
```

Values from the calculation:
Offset from the most stable computed form   0.2429 eV per atom
DOS(E_F)   5.2 states/eV per cell
Energy of formation   13.1 kcal/mol of atoms
Spin magnetization   1.406 μB/cell

=====

Record 5
Here is a geometry-optimized CdRe2Ag structure from Alexandria via LeMat-Bulk. Energies are from GGA-PBE.

POSCAR file:
```
CdRe2Ag
1.0
-0.734 1.471 2.225
-1.807 0.026 -2.095
-4.478 -7.934 3.766
Cd Re Ag
1 2 1
Direct
0.500 0.500 0.754
0.500 0.500 0.235
0.000 0.000 0.019
0.000 0.000 0.491
```

Values from the calculation:
DOS(E_F)   2.5 states/eV per cell
Energy of formation   8.9 kcal/mol of atoms
Spin magnetization   0.000 μB/cell

=====

Record 6
Here is a geometry-optimized GaRu2F structure from Alexandria via LeMat-Bulk. Energies are from GGA-PBE.

POSCAR file:
```
GaRu2F
1.0
0.661 -4.218 -0.007
-0.994 -2.323 3.442
-3.320 -2.681 -0.120
Ru Ga F
2 1 1
Direct
0.250 0.250 0.250
0.750 0.750 0.750
0.500 0.500 0.500
0.000 0.000 0.000
```

Values from the calculation:
Offset from the most stable computed form   0.0000 eV per atom
DOS(E_F)   5.1 states/eV per cell
Spin magnetization   3.108 μB/cell
E_form (uncorrected)   0.151 eV/atom

=====

Record 7
Here is a geometry-optimized ZrSbS structure from Alexandria via LeMat-Bulk. Energies are from GGA-PBE.

POSCAR file:
```
ZrSbS
1.0
3.784 0.000 0.000
0.000 7.811 -0.573
0.000 -3.349 9.703
Zr S Sb
4 4 4
Direct
0.341 0.842 0.830
0.659 0.158 0.170
0.841 0.158 0.670
0.159 0.842 0.330
0.667 0.092 0.403
0.167 0.908 0.097
0.833 0.092 0.903
0.333 0.908 0.597
0.352 0.467 0.853
0.148 0.467 0.353
0.648 0.533 0.147
0.852 0.533 0.647
```

Values from the calculation:
DOS(E_F)   6.6 states/eV per cell
Spin magnetization   0.000 μB/cell
E_form (uncorrected)   -0.927 eV/atom

=====

Record 8
Here is a geometry-optimized Tm6InNi structure from Alexandria via LeMat-Bulk. Energies are from GGA-PBE.

POSCAR file:
```
Tm6InNi
1.0
-1.748 1.168 -5.882
-0.838 -6.166 0.541
-5.161 1.956 2.965
Ni Tm In
1 6 1
Direct
0.500 0.500 0.500
0.202 0.579 0.212
0.784 0.784 0.370
0.798 0.421 0.788
0.579 0.202 0.212
0.421 0.798 0.788
0.216 0.216 0.630
0.000 0.000 0.000
```

Values from the calculation:
DOS(E_F)   11.4 states/eV per cell
Energy of formation   -0.7 kcal/mol of atoms
Spin magnetization   0.000 μB/cell

=====

Record 9
Here is a geometry-optimized Ag5Pb2F12 structure from Alexandria via LeMat-Bulk. Energies are from GGA-PBE.

POSCAR file:
```
Ag5Pb2F12
1.0
-5.541 2.255 -4.105
6.327 -1.596 -3.006
-3.727 -6.979 1.196
F Ag Pb
12 5 2
Direct
0.937 0.247 0.493
0.063 0.753 0.507
0.455 0.416 0.137
0.545 0.584 0.863
0.690 0.753 0.507
0.953 0.906 0.156
0.960 0.416 0.137
0.477 0.955 0.779
0.040 0.584 0.863
0.047 0.094 0.844
0.310 0.247 0.493
0.523 0.045 0.221
0.000 0.000 0.500
0.698 0.395 0.447
0.744 0.488 0.998
0.302 0.605 0.553
0.256 0.512 0.002
0.254 0.000 0.000
0.746 0.000 0.000
```

Values from the calculation:
DOS(E_F)   7.6 states/eV per cell
Spin magnetization   0.943 μB/cell
E_form (uncorrected)   -1.419 eV/atom

=====

Record 10
Here is a geometry-optimized PrCuSe2 structure from Alexandria via LeMat-Bulk. Energies are from GGA-PBE.

POSCAR file:
```
PrCuSe2
1.0
4.530 0.000 0.000
0.000 5.790 0.000
-2.265 0.000 9.994
Se Pr Cu
4 2 2
Direct
0.286 0.888 0.572
0.714 0.388 0.428
0.088 0.892 0.176
0.912 0.392 0.824
0.687 0.888 0.374
0.313 0.388 0.626
0.000 0.642 0.000
0.000 0.142 0.000
```

Values from the calculation:
DOS(E_F)   0.0 states/eV per cell
Spin magnetization   0.000 μB/cell
E_form (uncorrected)   -1.134 eV/atom

=====

Record 11
Here is a geometry-optimized La4PdN2 structure from Alexandria via LeMat-Bulk. Energies are from GGA-PBE.

POSCAR file:
```
La4PdN2
1.0
3.818 0.000 0.000
-1.909 6.256 0.000
0.000 0.000 13.391
N Pd La
4 2 8
Direct
0.136 0.272 0.061
0.136 0.272 0.439
0.864 0.728 0.561
0.864 0.728 0.939
0.608 0.216 0.750
0.392 0.784 0.250
0.771 0.543 0.394
0.500 0.000 0.500
0.929 0.858 0.750
0.500 0.000 0.000
0.229 0.457 0.606
0.771 0.543 0.106
0.071 0.142 0.250
0.229 0.457 0.894
```

Values from the calculation:
Offset from the most stable computed form   0.0000 eV per atom
DOS(E_F)   13.3 states/eV per cell
Spin magnetization   0.000 μB/cell
E_form (uncorrected)   -0.943 eV/atom

=====

Record 12
Here is a geometry-optimized CsV4Br8 structure from Alexandria via LeMat-Bulk. Energies are from GGA-PBE.

POSCAR file:
```
CsV4Br8
1.0
6.889 -0.001 -3.717
-4.447 6.442 0.000
0.828 0.572 9.778
Br V Cs
8 4 1
Direct
0.055 0.277 0.833
0.556 0.778 0.833
0.557 0.278 0.835
0.945 0.222 0.167
0.945 0.723 0.167
0.443 0.722 0.165
0.444 0.222 0.167
0.055 0.778 0.833
0.000 0.000 0.000
0.500 0.000 0.000
0.000 0.500 0.000
0.500 0.500 0.000
0.000 0.500 0.500
```

Values from the calculation:
DOS(E_F)   7.8 states/eV per cell
Spin magnetization   13.003 μB/cell
E_form (uncorrected)   -0.798 eV/atom

=====

- What is the spin magnetization in the seventh record?
  0.000 μB/cell

=====

- spin magnetization of number 9 (Ag5Pb2F12)?
  0.943 μB/cell

=====

- The highest spin magnetization belongs to which entry?
  CsV4Br8